Sr2YZn: relaxed, PBE.

Lattice parameters (Å, degrees): 5.579 5.579 4.523 90.00 90.00 90.00
Atoms (fractional coordinates):
Sr  0.000  0.500  0.000
Sr  0.500  0.000  0.000
Y  0.000  0.000  0.500
Zn  0.500  0.500  0.500

space-group type: P4/mmm, No. 123
ΔH_f (0 K): 4.2 kcal/mol of atoms
crystal system: tetragonal
total DFT energy (no corrections): -10.4 eV for the cell shown